(1)
Computed, not measured: crystalline TaTi3Se at its relaxed geometry at the GGA-PBE level of DFT.

Summary:
The value obtained for the total energy is -38.0 eV per cell. As for the uncorrected formation energy: 214 meV/atom. As for the crystal system: cubic. The calculation puts the volume at 98.00 Å³/cell.

```
data_TaTi3Se
_chemical_formula_sum 'Ta1 Ti3 Se1'
_space_group_name_H-M_alt 'P m -3 m'
_space_group_IT_number 221
_space_group_name_Hall '-P 4 2 3'
_cell_length_a 4.610
_cell_length_b 4.610
_cell_length_c 4.610
_cell_angle_alpha 90.00
_cell_angle_beta 90.00
_cell_angle_gamma 90.00
loop_
_atom_site_label
_atom_site_type_symbol
_atom_site_fract_x
_atom_site_fract_y
_atom_site_fract_z
Ta1 Ta 0.000 0.000 0.000
Ti1 Ti 0.000 0.500 0.500
Se1 Se 0.500 0.500 0.500
```

***

(2)
Computed, not measured: crystalline Ta2TiTl2Se6 at its relaxed geometry at the GGA-PBE level of DFT.

Summary:
The value obtained for the total energy is -130.6 eV per cell. As for the uncorrected formation energy: -735 meV/atom. As for the crystal system: monoclinic. The calculation puts the volume at 566.66 Å³/cell.

```
data_Ta2TiTl2Se6
_chemical_formula_sum 'Ta4 Ti2 Tl4 Se12'
_space_group_name_H-M_alt 'C 1 2/m 1'
_space_group_IT_number 12
_cell_length_a 6.263
_cell_length_b 10.890
_cell_length_c 8.488
_cell_angle_alpha 90.00
_cell_angle_beta 101.80
_cell_angle_gamma 90.00
loop_
_space_group_symop_operation_xyz
'x,y,z'
'-x,-y,-z'
'-x,y,-z'
'x,-y,z'
'x+1/2,y+1/2,z'
'-x+1/2,-y+1/2,-z'
'-x+1/2,y+1/2,-z'
'x+1/2,-y+1/2,z'
loop_
_atom_site_label
_atom_site_type_symbol
_atom_site_fract_x
_atom_site_fract_y
_atom_site_fract_z
Ta1 Ta 0.000 0.135 0.000
Ti1 Ti 0.000 0.500 0.000
Tl1 Tl 0.000 0.319 0.500
Se1 Se 0.215 0.328 0.178
Se2 Se 0.244 0.000 0.212
```

***

(3)
Computed, not measured: crystalline TaTi3Tl3Se8 at its relaxed geometry at the GGA-PBE level of DFT.

Summary:
The value obtained for the total energy is -166.5 eV per cell. As for the uncorrected formation energy: -848 meV/atom. As for the crystal system: monoclinic. The calculation puts the volume at 756.38 Å³/cell.

```
data_TaTi3Tl3Se8
_chemical_formula_sum 'Ta2 Ti6 Tl6 Se16'
_space_group_name_H-M_alt 'C 1 2/m 1'
_space_group_IT_number 12
_cell_length_a 12.437
_cell_length_b 7.172
_cell_length_c 9.454
_cell_angle_alpha 90.00
_cell_angle_beta 116.24
_cell_angle_gamma 90.00
loop_
_space_group_symop_operation_xyz
'x,y,z'
'-x,-y,-z'
'-x,y,-z'
'x,-y,z'
'x+1/2,y+1/2,z'
'-x+1/2,-y+1/2,-z'
'-x+1/2,y+1/2,-z'
'x+1/2,-y+1/2,z'
loop_
_atom_site_label
_atom_site_type_symbol
_atom_site_fract_x
_atom_site_fract_y
_atom_site_fract_z
Ta1 Ta 0.000 0.000 0.000
Ti1 Ti 0.000 0.500 0.000
Ti2 Ti 0.250 0.250 0.000
Tl1 Tl 0.000 0.000 0.500
Tl2 Tl 0.250 0.250 0.500
Se1 Se 0.021 0.252 0.814
Se2 Se 0.228 0.500 0.181
Se3 Se 0.231 0.000 0.186
```

***

(4)
Computed, not measured: crystalline TaTlSe2 at its relaxed geometry at the GGA-PBE level of DFT.

Summary:
The value obtained for the total energy is -84.6 eV per cell. As for the uncorrected formation energy: 7 meV/atom. As for the crystal system: tetragonal. The calculation puts the volume at 404.95 Å³/cell.

```
data_TaTlSe2
_chemical_formula_sum 'Ta4 Tl4 Se8'
_space_group_name_H-M_alt 'I 41/a m d'
_space_group_IT_number 141
_cell_length_a 5.797
_cell_length_b 5.797
_cell_length_c 12.050
_cell_angle_alpha 90.00
_cell_angle_beta 90.00
_cell_angle_gamma 90.00
loop_
_space_group_symop_operation_xyz
'x,y,z'
'-x,-y,-z'
'-y+1/4,x+3/4,z+1/4'
'y+1/4,-x+3/4,-z+1/4'
'-x+1/2,-y,z+1/2'
'x+1/2,y,-z+1/2'
'y+1/4,-x+1/4,z+3/4'
'-y+1/4,x+1/4,-z+3/4'
'x,-y,-z'
'-x,y,z'
'-y+1/4,-x+1/4,-z+3/4'
'y+1/4,x+1/4,z+3/4'
'-x+1/2,y,-z+1/2'
'x+1/2,-y,z+1/2'
'y+1/4,x+3/4,-z+1/4'
'-y+1/4,-x+3/4,z+1/4'
'x+1/2,y+1/2,z+1/2'
'-x+1/2,-y+1/2,-z+1/2'
'-y+3/4,x+1/4,z+3/4'
'y+3/4,-x+1/4,-z+3/4'
'-x,-y+1/2,z'
'x,y+1/2,-z'
'y+3/4,-x+3/4,z+1/4'
'-y+3/4,x+3/4,-z+1/4'
'x+1/2,-y+1/2,-z+1/2'
'-x+1/2,y+1/2,z+1/2'
'-y+3/4,-x+3/4,-z+1/4'
'y+3/4,x+3/4,z+1/4'
'-x,y+1/2,-z'
'x,-y+1/2,z'
'y+3/4,x+1/4,-z+3/4'
'-y+3/4,-x+1/4,z+3/4'
loop_
_atom_site_label
_atom_site_type_symbol
_atom_site_fract_x
_atom_site_fract_y
_atom_site_fract_z
Ta1 Ta 0.000 0.250 0.375
Tl1 Tl 0.000 0.250 0.875
Se1 Se 0.000 0.250 0.158
```

***

(5)
Computed, not measured: crystalline TaTlSe2 at its relaxed geometry at the GGA-PBE level of DFT.

Summary:
The value obtained for the total energy is -39.8 eV per cell. As for the uncorrected formation energy: 328 meV/atom. As for the crystal system: monoclinic. The calculation puts the volume at 170.62 Å³/cell.

```
data_TaTlSe2
_chemical_formula_sum 'Ta2 Tl2 Se4'
_space_group_name_H-M_alt 'C 1 2/m 1'
_space_group_IT_number 12
_cell_length_a 6.778
_cell_length_b 7.658
_cell_length_c 3.396
_cell_angle_alpha 90.00
_cell_angle_beta 104.56
_cell_angle_gamma 90.00
loop_
_space_group_symop_operation_xyz
'x,y,z'
'-x,-y,-z'
'-x,y,-z'
'x,-y,z'
'x+1/2,y+1/2,z'
'-x+1/2,-y+1/2,-z'
'-x+1/2,y+1/2,-z'
'x+1/2,-y+1/2,z'
loop_
_atom_site_label
_atom_site_type_symbol
_atom_site_fract_x
_atom_site_fract_y
_atom_site_fract_z
Ta1 Ta 0.000 0.000 0.000
Tl1 Tl 0.000 0.500 0.000
Se1 Se 0.250 0.250 0.500
```

***

(6)
Computed, not measured: crystalline TaTlSe2 at its relaxed geometry at the GGA-PBE level of DFT.

Summary:
The value obtained for the total energy is -47.2 eV per cell. As for the uncorrected formation energy: -598 meV/atom. As for the crystal system: monoclinic. The calculation puts the volume at 199.47 Å³/cell.

```
data_TaTlSe2
_chemical_formula_sum 'Ta2 Tl2 Se4'
_space_group_name_H-M_alt 'C 1 m 1'
_space_group_IT_number 8
_cell_length_a 6.029
_cell_length_b 3.475
_cell_length_c 9.935
_cell_angle_alpha 90.00
_cell_angle_beta 106.57
_cell_angle_gamma 90.00
loop_
_space_group_symop_operation_xyz
'x,y,z'
'x,-y,z'
'x+1/2,y+1/2,z'
'x+1/2,-y+1/2,z'
loop_
_atom_site_label
_atom_site_type_symbol
_atom_site_fract_x
_atom_site_fract_y
_atom_site_fract_z
Ta1 Ta 0.000 0.000 0.000
Tl1 Tl 0.226 0.500 0.509
Se1 Se 0.084 0.500 0.823
Se2 Se 0.416 0.000 0.176
```

***

(7)
Computed, not measured: crystalline TaTl7Se6 at its relaxed geometry at the GGA-PBE level of DFT.

Summary:
The value obtained for the total energy is -223.2 eV per cell. As for the uncorrected formation energy: -463 meV/atom. As for the crystal system: orthorhombic. The calculation puts the volume at 2039.24 Å³/cell.

```
data_TaTl7Se6
_chemical_formula_sum 'Ta4 Tl28 Se24'
_space_group_name_H-M_alt 'I b a m'
_space_group_IT_number 72
_space_group_name_Hall '-I 2 2c'
_cell_length_a 8.047
_cell_length_b 13.897
_cell_length_c 18.236
_cell_angle_alpha 90.00
_cell_angle_beta 90.00
_cell_angle_gamma 90.00
loop_
_atom_site_label
_atom_site_type_symbol
_atom_site_fract_x
_atom_site_fract_y
_atom_site_fract_z
Ta1 Ta 0.000 0.000 0.250
Tl1 Tl 0.000 0.500 0.250
Tl2 Tl 0.192 0.202 0.111
Tl3 Tl 0.248 0.475 0.000
Se1 Se 0.009 0.325 0.500
Se2 Se 0.185 0.095 0.325
```

***

(8)
Computed, not measured: crystalline Ta2TlSe at its relaxed geometry at the GGA-PBE level of DFT.

Summary:
The value obtained for the total energy is -28.5 eV per cell. As for the uncorrected formation energy: 252 meV/atom. As for the crystal system: monoclinic. The calculation puts the volume at 75.06 Å³/cell.

```
data_Ta2TlSe
_chemical_formula_sum 'Ta2 Tl1 Se1'
_space_group_name_H-M_alt 'P 1 2/m 1'
_space_group_IT_number 10
_cell_length_a 3.172
_cell_length_b 3.172
_cell_length_c 7.459
_cell_angle_alpha 90.00
_cell_angle_beta 90.12
_cell_angle_gamma 90.00
loop_
_space_group_symop_operation_xyz
'x,y,z'
'-x,-y,-z'
'-x,y,-z'
'x,-y,z'
loop_
_atom_site_label
_atom_site_type_symbol
_atom_site_fract_x
_atom_site_fract_y
_atom_site_fract_z
Ta1 Ta 0.004 0.000 0.211
Tl1 Tl 0.500 0.500 0.500
Se1 Se 0.500 0.500 0.000
```

***

(9)
Computed, not measured: crystalline Ta2TlSe at its relaxed geometry at the GGA-PBE level of DFT.

Summary:
The value obtained for the total energy is -28.9 eV per cell. As for the uncorrected formation energy: 176 meV/atom. As for the crystal system: monoclinic. The calculation puts the volume at 81.49 Å³/cell.

```
data_Ta2TlSe
_chemical_formula_sum 'Ta2 Tl1 Se1'
_space_group_name_H-M_alt 'P 1 m 1'
_space_group_IT_number 6
_cell_length_a 3.121
_cell_length_b 4.866
_cell_length_c 5.585
_cell_angle_alpha 90.00
_cell_angle_beta 106.13
_cell_angle_gamma 90.00
loop_
_space_group_symop_operation_xyz
'x,y,z'
'x,-y,z'
loop_
_atom_site_label
_atom_site_type_symbol
_atom_site_fract_x
_atom_site_fract_y
_atom_site_fract_z
Ta1 Ta 0.000 0.000 0.000
Ta2 Ta 0.390 0.500 0.781
Tl1 Tl 0.653 0.500 0.303
Se1 Se 0.307 0.000 0.613
```

***

(10)
Computed, not measured: crystalline TaTlSe2 at its relaxed geometry at the GGA-PBE level of DFT.

Summary:
The value obtained for the total energy is -90.7 eV per cell. As for the uncorrected formation energy: -372 meV/atom. As for the crystal system: orthorhombic. The calculation puts the volume at 395.76 Å³/cell.

```
data_TaTlSe2
_chemical_formula_sum 'Ta4 Tl4 Se8'
_space_group_name_H-M_alt 'C m c m'
_space_group_IT_number 63
_space_group_name_Hall '-C 2c 2'
_cell_length_a 3.397
_cell_length_b 30.702
_cell_length_c 3.795
_cell_angle_alpha 90.00
_cell_angle_beta 90.00
_cell_angle_gamma 90.00
loop_
_atom_site_label
_atom_site_type_symbol
_atom_site_fract_x
_atom_site_fract_y
_atom_site_fract_z
Ta1 Ta 0.000 0.189 0.250
Tl1 Tl 0.000 0.455 0.250
Se1 Se 0.000 0.281 0.250
Se2 Se 0.000 0.373 0.750
```

***

uncorrected formation energy of number 3 (TaTi3Tl3Se8)?
-848 meV/atom